Entry from Alexandria via LeMat-Bulk: a geometry-optimized Ge3HAu structure (PBE).

The space group is Pm-3m (No. 221) and the conventional cell measures 4.313, 4.313 and 4.313 Å, with angles of 90.00, 90.00 and 90.00 degrees. The asymmetric unit holds Ge at (0.000, 0.000, 0.500), H at (0.000, 0.000, 0.000) and Au at (0.500, 0.500, 0.500).


Entry from Alexandria via LeMat-Bulk: a geometry-optimized Ge2HAu structure (PBE).

The space group is I-42d (No. 122) and the conventional cell measures 4.605, 4.605 and 13.156 Å, with angles of 90.00, 90.00 and 90.00 degrees. The asymmetric unit holds Ge at (0.149, 0.250, 0.125), H at (0.000, 0.000, 0.000) and Au at (0.000, 0.000, 0.500).


Entry from Alexandria via LeMat-Bulk: a geometry-optimized GeHAu structure (PBE).

The space group is Cmcm (No. 63) and the conventional cell measures 3.190, 13.439 and 4.310 Å, with angles of 90.00, 90.00 and 90.00 degrees. The asymmetric unit holds Ge at (0.000, 0.101, 0.250), H at (0.000, 0.457, 0.750) and Au at (0.000, 0.200, 0.750).


Entry from Alexandria via LeMat-Bulk: a geometry-optimized GeHAu structure (PBE).

The space group is P3m1 (No. 156) and the conventional cell measures 3.0790, 3.0790 and 5.3350 Å, with angles of 90.00, 90.00 and 120.00 degrees. The asymmetric unit holds Ge at (0.0000, 0.0000, 0.0000), H at (0.6667, 0.3333, 0.1405) and Au at (0.3333, 0.6667, 0.5995).


Going through the records in order, we get energy relative to the lowest polymorph listed for this composition values of 0, 174, 0, 205 meV per atom.